1.
Material: Ni2P
Method: DFT, PBE
State: optimized geometry

Output
Space group: I4_1/amd (141)
Size of the total moment, μB per formula unit: 0.0
Final energy, eV per formula unit: -17.27
ΔE_f, eV/atom: -0.1002

a b c (Å): 2.7791 2.7791 18.5168
angles (deg): 90.00 90.00 90.00
Last column: nearest neighbours and their distance in Å.
Sites, in units of the cell vectors:
Ni: 0.0000 0.2500 0.3076  4 P 2.33, 3 Ni 2.50-2.54
Ni: 0.0000 0.2500 0.4424  4 P 2.33, 3 Ni 2.50-2.54
Ni: 0.0000 0.7500 0.5576  4 P 2.33, 3 Ni 2.50-2.54
Ni: 0.0000 0.7500 0.6924  4 P 2.33, 3 Ni 2.50-2.54
Ni: 0.5000 0.2500 0.0576  4 P 2.33, 3 Ni 2.50-2.54
Ni: 0.5000 0.2500 0.1924  4 P 2.33, 3 Ni 2.50-2.54
Ni: 0.5000 0.7500 0.8076  4 P 2.33, 3 Ni 2.50-2.54
Ni: 0.5000 0.7500 0.9424  4 P 2.33, 3 Ni 2.50-2.54
P: 0.0000 0.2500 0.8750  8 Ni 2.33
P: 0.0000 0.7500 0.1250  8 Ni 2.33
P: 0.5000 0.2500 0.6250  8 Ni 2.33
P: 0.5000 0.7500 0.3750  8 Ni 2.33



2.
Material: Sm8Ga2Pb
Method: DFT, PBE
State: optimized geometry

Output
Space group: C2/m (12)
Size of the total moment, μB per formula unit: 0.0
Final energy, eV per formula unit: -50.80
ΔE_f, eV/atom: -0.2984

a b c (Å): 8.9874 8.9874 8.0707
angles (deg): 110.47 110.47 31.96
Last column: nearest neighbours and their distance in Å.
Sites, in units of the cell vectors:
Sm: 0.0510 0.0510 0.2344  1 Ga 3.08, 2 Sm 3.33
Sm: 0.1668 0.1668 0.7492  3 Ga 3.12-3.15, 2 Sm 3.40
Sm: 0.3222 0.3222 0.5547  1 Ga 3.02, 1 Pb 3.26, 2 Sm 3.33
Sm: 0.3982 0.3982 0.0423  2 Ga 3.22, 4 Sm 3.40-3.54, 1 Pb 3.47
Sm: 0.6018 0.6018 0.9577  2 Ga 3.22, 4 Sm 3.40-3.54, 1 Pb 3.47
Sm: 0.6778 0.6778 0.4453  1 Ga 3.02, 1 Pb 3.26, 2 Sm 3.33
Sm: 0.8332 0.8332 0.2508  3 Ga 3.12-3.15, 2 Sm 3.40
Sm: 0.9490 0.9490 0.7656  1 Ga 3.08, 2 Sm 3.33
Ga: 0.2150 0.2150 0.1647  7 Sm 3.02-3.22
Ga: 0.7850 0.7850 0.8353  7 Sm 3.02-3.22
Pb: 0.5000 0.5000 0.5000  8 Sm 3.26-3.59



3.
Material: PmSm4Y4
Method: DFT, PBE
State: optimized geometry

Output
Space group: P-1 (2)
Size of the total moment, μB per formula unit: 0.0
Final energy, eV per formula unit: -49.35
ΔE_f, eV/atom: 0.0154

a b c (Å): 6.8291 8.5815 10.9966
angles (deg): 89.97 74.46 77.17
Last column: nearest neighbours and their distance in Å.
Sites, in units of the cell vectors:
Pm: 0.2217 0.0281 0.2135  7 Y 3.57-3.67, 5 Sm 3.58-3.68
Pm: 0.7783 0.9719 0.7865  7 Y 3.57-3.67, 5 Sm 3.58-3.68
Sm: 0.1127 0.6398 0.5646  5 Y 3.56-3.68, 6 Sm 3.57-3.69, 1 Pm 3.66
Sm: 0.4414 0.3083 0.3429  6 Sm 3.57-3.68, 1 Pm 3.58, 5 Y 3.59-3.69
Sm: 0.4442 0.3030 0.6771  6 Y 3.55-3.67, 5 Sm 3.58-3.69, 1 Pm 3.65
Sm: 0.4439 0.3058 0.0087  7 Y 3.57-3.69, 3 Sm 3.58-3.67, 2 Pm 3.58-3.68
Sm: 0.5561 0.6942 0.9913  7 Y 3.57-3.69, 3 Sm 3.58-3.67, 2 Pm 3.58-3.68
Sm: 0.5558 0.6970 0.3229  6 Y 3.55-3.67, 5 Sm 3.58-3.69, 1 Pm 3.65
Sm: 0.5586 0.6917 0.6571  6 Sm 3.57-3.68, 1 Pm 3.58, 5 Y 3.59-3.69
Sm: 0.8873 0.3602 0.4354  5 Y 3.56-3.68, 6 Sm 3.57-3.69, 1 Pm 3.66
Y: 0.1081 0.6409 0.2311  7 Sm 3.55-3.69, 4 Y 3.56-3.66, 1 Pm 3.57
Y: 0.1107 0.6379 0.8980  5 Y 3.56-3.68, 6 Sm 3.57-3.67, 1 Pm 3.67
Y: 0.2213 0.0261 0.8799  5 Y 3.55-3.68, 3 Pm 3.57-3.67, 4 Sm 3.57-3.69
Y: 0.2230 0.0274 0.5465  6 Sm 3.56-3.69, 4 Y 3.57-3.66, 2 Pm 3.57-3.66
Y: 0.7770 0.9726 0.4535  6 Sm 3.56-3.69, 4 Y 3.57-3.66, 2 Pm 3.57-3.66
Y: 0.7787 0.9739 0.1201  5 Y 3.55-3.68, 3 Pm 3.57-3.67, 4 Sm 3.57-3.69
Y: 0.8893 0.3621 0.1020  5 Y 3.56-3.68, 6 Sm 3.57-3.67, 1 Pm 3.67
Y: 0.8919 0.3591 0.7689  7 Sm 3.55-3.69, 4 Y 3.56-3.66, 1 Pm 3.57



4.
Material: CaSbIr2
Method: DFT, PBE
State: optimized geometry

Output
Space group: P4/mmm (123)
Raw formation energy, eV per atom: -0.0794
Size of the total moment, μB per formula unit: 0.0
Final energy, eV per formula unit: -24.16

a b c (Å): 3.1637 3.1637 7.6462
angles (deg): 90.00 90.00 90.00
Last column: nearest neighbours and their distance in Å.
Sites, in units of the cell vectors:
Ca: 0.0000 0.0000 0.0000  8 Ir 3.13, 4 Ca 3.16
Sb: 0.0000 0.0000 0.5000  8 Ir 2.77
Ir: 0.5000 0.5000 0.2872  4 Sb 2.77
Ir: 0.5000 0.5000 0.7128  4 Sb 2.77



5.
Material: TlHF2
Method: DFT, PBE
State: optimized geometry

Output
Space group: Fm-3m (225)
Excess energy over the best structure of this formula in the dataset, kJ/mol of atoms: 104.70
Size of the total moment, μB per formula unit: 1.1
Final energy, eV per formula unit: -12.18

a b c (Å): 5.9177 5.9177 5.9177
angles (deg): 90.00 90.00 90.00
Last column: nearest neighbours and their distance in Å.
Sites, in units of the cell vectors:
Tl: 0.0000 0.0000 0.0000  8 F 2.56
Tl: 0.0000 0.5000 0.5000  8 F 2.56
Tl: 0.5000 0.0000 0.5000  8 F 2.56
Tl: 0.5000 0.5000 0.0000  8 F 2.56
H: 0.0000 0.0000 0.5000  8 F 2.56
H: 0.0000 0.5000 0.0000  8 F 2.56
H: 0.5000 0.0000 0.0000  8 F 2.56
H: 0.5000 0.5000 0.5000  8 F 2.56
F: 0.2500 0.2500 0.2500  4 Tl 2.56, 4 H 2.56
F: 0.2500 0.2500 0.7500  4 Tl 2.56, 4 H 2.56
F: 0.2500 0.7500 0.2500  4 Tl 2.56, 4 H 2.56
F: 0.2500 0.7500 0.7500  4 Tl 2.56, 4 H 2.56
F: 0.7500 0.2500 0.2500  4 Tl 2.56, 4 H 2.56
F: 0.7500 0.2500 0.7500  4 Tl 2.56, 4 H 2.56
F: 0.7500 0.7500 0.2500  4 Tl 2.56, 4 H 2.56
F: 0.7500 0.7500 0.7500  4 Tl 2.56, 4 H 2.56



6.
Material: SrPb2Au
Method: DFT, PBE
State: optimized geometry

Output
Space group: P4mm (99)
Size of the total moment, μB per formula unit: 0.0
Final energy, eV per formula unit: -13.74
ΔE_f, eV/atom: -0.3409

a b c (Å): 3.8140 3.8140 8.1124
angles (deg): 90.00 90.00 90.00
Last column: nearest neighbours and their distance in Å.
Sites, in units of the cell vectors:
Sr: 0.0000 0.0000 0.0000  4 Au 3.24, 1 Pb 3.55
Pb: 0.0000 0.0000 0.4371  4 Au 3.21, 4 Pb 3.42, 1 Sr 3.55
Pb: 0.5000 0.5000 0.6956  8 Pb 3.42-3.81, 4 Sr 3.66
Au: 0.5000 0.5000 0.2215  4 Pb 3.21, 4 Sr 3.24



7.
Material: Te2RhCI
Method: DFT, PBE
State: optimized geometry

Output
Space group: P4/mmm (123)
Excess energy over the best structure of this formula in the dataset, kJ/mol of atoms: 24.53
Raw formation energy, eV per atom: 1.6306
Size of the total moment, μB per formula unit: 1.1
Final energy, eV per formula unit: -16.26

a b c (Å): 5.1643 5.1643 5.5498
angles (deg): 90.00 90.00 90.00
Last column: nearest neighbours and their distance in Å.
Sites, in units of the cell vectors:
Te: 0.0000 0.5000 0.0000  2 Rh 2.58
Te: 0.5000 0.0000 0.0000  2 Rh 2.58
Rh: 0.0000 0.0000 0.0000  4 Te 2.58, 2 I 2.77
C: 0.5000 0.5000 0.5000  4 I 3.65, 8 Te 3.79
I: 0.0000 0.0000 0.5000  2 Rh 2.77



8.
Material: CdCo2Ir2
Method: DFT, PBE
State: optimized geometry

Output
Space group: P4/mbm (127)
Excess energy over the best structure of this formula in the dataset, kJ/mol of atoms: 0.00
Size of the total moment, μB per formula unit: 4.0
Final energy, eV per formula unit: -31.82
ΔE_f, eV/atom: 0.2054

a b c (Å): 7.3629 7.3629 2.7164
angles (deg): 90.00 90.00 90.00
Last column: nearest neighbours and their distance in Å.
Sites, in units of the cell vectors:
Cd: 0.0000 0.0000 0.0000  2 Cd 2.72, 4 Ir 2.89
Cd: 0.5000 0.5000 0.0000  2 Cd 2.72, 4 Ir 2.89
Co: 0.1666 0.3334 0.5000  6 Ir 2.53-2.58, 2 Co 2.72
Co: 0.3334 0.8334 0.5000  6 Ir 2.53-2.58, 2 Co 2.72
Co: 0.6666 0.1666 0.5000  6 Ir 2.53-2.58, 2 Co 2.72
Co: 0.8334 0.6666 0.5000  6 Ir 2.53-2.58, 2 Co 2.72
Ir: 0.1285 0.6285 0.0000  6 Co 2.53-2.58, 3 Ir 2.68-2.72
Ir: 0.3715 0.1285 0.0000  6 Co 2.53-2.58, 3 Ir 2.68-2.72
Ir: 0.6285 0.8715 0.0000  6 Co 2.53-2.58, 3 Ir 2.68-2.72
Ir: 0.8715 0.3715 0.0000  6 Co 2.53-2.58, 3 Ir 2.68-2.72



9.
Material: NaZrZnF2
Method: DFT, PBE
State: optimized geometry

Output
Space group: P4/mmm (123)
Raw formation energy, eV per atom: -0.6396
Size of the total moment, μB per formula unit: 1.8
Final energy, eV per formula unit: -18.08

a b c (Å): 4.0881 4.0881 5.7526
angles (deg): 90.00 90.00 90.00
Last column: nearest neighbours and their distance in Å.
Sites, in units of the cell vectors:
Na: 0.0000 0.0000 0.0000  4 F 2.04
Zr: 0.0000 0.0000 0.5000  2 Na 2.88, 4 Zn 2.89
Zn: 0.5000 0.5000 0.5000  4 Zr 2.89
F: 0.0000 0.5000 0.0000  2 Na 2.04
F: 0.5000 0.0000 0.0000  2 Na 2.04



10.
Material: Ga3FeHg
Method: DFT, PBE
State: optimized geometry

Output
Space group: Pm-3m (221)
Excess energy over the best structure of this formula in the dataset, kJ/mol of atoms: 0.00
Size of the total moment, μB per formula unit: 0.0
Final energy, eV per formula unit: -17.69
ΔE_f, eV/atom: 0.0316

a b c (Å): 4.6643 4.6643 4.6643
angles (deg): 90.00 90.00 90.00
Last column: nearest neighbours and their distance in Å.
Sites, in units of the cell vectors:
Ga: 0.0000 0.0000 0.5000  2 Fe 2.33
Ga: 0.0000 0.5000 0.0000  2 Fe 2.33
Ga: 0.5000 0.0000 0.0000  2 Fe 2.33
Fe: 0.0000 0.0000 0.0000  6 Ga 2.33
Hg: 0.5000 0.5000 0.5000  12 Ga 3.30



11.
Material: CeErAl
Method: DFT, PBE
State: optimized geometry

Output
Space group: C2/m (12)
Excess energy over the best structure of this formula in the dataset, kJ/mol of atoms: 1.81
Size of the total moment, μB per formula unit: 0.8
Final energy, eV per formula unit: -14.84
ΔE_f, eV/atom: -0.2015

a b c (Å): 11.2686 5.1249 6.5288
angles (deg): 90.00 125.33 90.00
Last column: nearest neighbours and their distance in Å.
Sites, in units of the cell vectors:
Ce: 0.0006 0.0000 0.2716  1 Ce 2.99, 4 Al 3.27-3.28, 2 Er 3.30
Ce: 0.4994 0.5000 0.7284  1 Ce 2.99, 4 Al 3.27-3.28, 2 Er 3.30
Ce: 0.5006 0.5000 0.2716  1 Ce 2.99, 4 Al 3.27-3.28, 2 Er 3.30
Ce: 0.9994 0.0000 0.7284  1 Ce 2.99, 4 Al 3.27-3.28, 2 Er 3.30
Er: 0.1796 0.5000 0.1785  4 Al 3.00-3.28, 2 Ce 3.30, 1 Er 3.30
Er: 0.3204 0.0000 0.8215  4 Al 3.00-3.28, 2 Ce 3.30, 1 Er 3.30
Er: 0.6796 0.0000 0.1785  4 Al 3.00-3.28, 2 Ce 3.30, 1 Er 3.30
Er: 0.8204 0.5000 0.8215  4 Al 3.00-3.28, 2 Ce 3.30, 1 Er 3.30
Al: 0.1505 0.5000 0.6495  1 Al 2.77, 2 Er 3.00
Al: 0.3495 0.0000 0.3505  1 Al 2.77, 2 Er 3.00
Al: 0.6505 0.0000 0.6495  1 Al 2.77, 2 Er 3.00
Al: 0.8495 0.5000 0.3505  1 Al 2.77, 2 Er 3.00



12.
Material: CeSmScSn
Method: DFT, PBE
State: optimized geometry

Output
Space group: F-43m (216)
Size of the total moment, μB per formula unit: 0.9
Final energy, eV per formula unit: -21.80
ΔE_f, eV/atom: -0.2028

a b c (Å): 7.4836 7.4836 7.4836
angles (deg): 90.00 90.00 90.00
Last column: nearest neighbours and their distance in Å.
Sites, in units of the cell vectors:
Ce: 0.0000 0.0000 0.0000  4 Sm 3.24, 4 Sc 3.24
Ce: 0.0000 0.5000 0.5000  4 Sm 3.24, 4 Sc 3.24
Ce: 0.5000 0.0000 0.5000  4 Sm 3.24, 4 Sc 3.24
Ce: 0.5000 0.5000 0.0000  4 Sm 3.24, 4 Sc 3.24
Sm: 0.2500 0.2500 0.2500  4 Sn 3.24, 4 Ce 3.24
Sm: 0.2500 0.7500 0.7500  4 Sn 3.24, 4 Ce 3.24
Sm: 0.7500 0.2500 0.7500  4 Sn 3.24, 4 Ce 3.24
Sm: 0.7500 0.7500 0.2500  4 Sn 3.24, 4 Ce 3.24
Sc: 0.2500 0.2500 0.7500  4 Ce 3.24, 4 Sn 3.24
Sc: 0.2500 0.7500 0.2500  4 Ce 3.24, 4 Sn 3.24
Sc: 0.7500 0.2500 0.2500  4 Ce 3.24, 4 Sn 3.24
Sc: 0.7500 0.7500 0.7500  4 Ce 3.24, 4 Sn 3.24
Sn: 0.0000 0.0000 0.5000  4 Sc 3.24, 4 Sm 3.24
Sn: 0.0000 0.5000 0.0000  4 Sc 3.24, 4 Sm 3.24
Sn: 0.5000 0.0000 0.0000  4 Sc 3.24, 4 Sm 3.24
Sn: 0.5000 0.5000 0.5000  4 Sc 3.24, 4 Sm 3.24